(1)
Rb2NdIrO4: optimized geometry, GGA-PBE.

Structure (POSCAR):
```
Rb2NdIrO4
1.0
-3.2334 3.2334 3.7150
3.2334 -3.2334 3.7150
3.2334 3.2334 -3.7150
Rb Nd Ir O
2 1 1 4
direct
0.0000 0.0000 0.0000 Rb
0.7500 0.2500 0.5000 Rb
0.2500 0.7500 0.5000 Nd
0.5000 0.5000 0.0000 Ir
0.2787 0.4116 0.5938 O
0.3152 0.7213 0.1330 O
0.5884 0.1822 0.8670 O
0.8178 0.6848 0.4062 O
```

Summary:
space-group type = No. 82
crystal system = tetragonal
energy relative to the elements, uncorrected = -1.58 eV per atom

=====

(2)
RbNd2IrO8: optimized geometry, GGA-PBE.

Structure (POSCAR):
```
RbNd2IrO8
1.0
4.2391 0.0000 0.0000
-0.0167 5.4132 0.0000
-2.0416 -0.0197 7.1358
Rb Nd Ir O
1 2 1 8
direct
0.0000 0.0000 0.0000 Rb
0.3716 0.4926 0.7077 Nd
0.6284 0.5074 0.2923 Nd
0.0000 0.0000 0.5000 Ir
0.1734 0.5007 0.9975 O
0.1891 0.7099 0.4049 O
0.1914 0.2451 0.3775 O
0.3534 0.0239 0.7223 O
0.6466 0.9761 0.2777 O
0.8086 0.7549 0.6225 O
0.8109 0.2901 0.5951 O
0.8266 0.4993 0.0025 O
```

Summary:
space-group type = No. 2
crystal system = triclinic
energy relative to the elements, uncorrected = -1.77 eV per atom

=====

(3)
Rb2Nd2IrO6: optimized geometry, GGA-PBE.

Structure (POSCAR):
```
Rb2Nd2IrO6
1.0
3.0182 -5.1629 0.0000
3.0182 5.1629 0.0000
-1.7399 0.0000 6.6820
Rb Nd Ir O
2 2 1 6
direct
0.1601 0.8399 0.0000 Rb
0.8399 0.1601 0.0000 Rb
0.3356 0.6644 0.5000 Nd
0.6644 0.3356 0.5000 Nd
0.0000 0.0000 0.5000 Ir
0.0447 0.3466 0.6650 O
0.2426 0.2426 0.3297 O
0.3466 0.0447 0.6650 O
0.6534 0.9553 0.3350 O
0.7574 0.7574 0.6703 O
0.9553 0.6534 0.3350 O
```

Summary:
space-group type = No. 12
crystal system = monoclinic
energy relative to the elements, uncorrected = -1.99 eV per atom

=====

(4)
NdIrRhO6: optimized geometry, GGA-PBE.

Structure (POSCAR):
```
NdIrRhO6
1.0
5.2731 0.0000 0.0000
-2.6366 4.5666 0.0000
0.0000 0.0000 10.1006
Nd Ir Rh O
2 2 2 12
direct
0.0000 0.0000 0.0000 Nd
0.0000 0.0000 0.5000 Nd
0.3333 0.6667 0.2500 Ir
0.6667 0.3333 0.7500 Ir
0.3333 0.6667 0.7500 Rh
0.6667 0.3333 0.2500 Rh
0.0063 0.3677 0.1429 O
0.0063 0.6386 0.3571 O
0.3614 0.3677 0.3571 O
0.3614 0.9937 0.1429 O
0.3677 0.0063 0.6429 O
0.3677 0.3614 0.8571 O
0.6323 0.6386 0.1429 O
0.6323 0.9937 0.3571 O
0.6386 0.0063 0.8571 O
0.6386 0.6323 0.6429 O
0.9937 0.3614 0.6429 O
0.9937 0.6323 0.8571 O
```

Summary:
space-group type = No. 163
crystal system = trigonal
energy relative to the elements, uncorrected = -1.45 eV per atom

=====

(5)
NdScIrO6: optimized geometry, GGA-PBE.

Structure (POSCAR):
```
NdScIrO6
1.0
5.3271 0.0000 0.0000
-2.6635 4.6134 0.0000
0.0000 0.0000 10.1703
Nd Sc Ir O
2 2 2 12
direct
0.0000 0.0000 0.0000 Nd
0.0000 0.0000 0.5000 Nd
0.3333 0.6667 0.2500 Sc
0.6667 0.3333 0.7500 Sc
0.3333 0.6667 0.7500 Ir
0.6667 0.3333 0.2500 Ir
0.0223 0.3715 0.6416 O
0.0223 0.6508 0.8584 O
0.3492 0.3715 0.8584 O
0.3492 0.9777 0.6416 O
0.3715 0.0223 0.1416 O
0.3715 0.3492 0.3584 O
0.6285 0.6508 0.6416 O
0.6285 0.9777 0.8584 O
0.6508 0.0223 0.3584 O
0.6508 0.6285 0.1416 O
0.9777 0.3492 0.1416 O
0.9777 0.6285 0.3584 O
```

Summary:
space-group type = No. 163
crystal system = trigonal
energy relative to the elements, uncorrected = -2.19 eV per atom

=====

(6)
Nd2SmIrO8: optimized geometry, GGA-PBE.

Structure (POSCAR):
```
Nd2SmIrO8
1.0
3.6663 -3.6814 0.0000
3.6663 3.6814 0.0000
0.0000 0.0000 6.9992
Nd Sm Ir O
2 1 1 8
direct
0.0000 0.0000 0.2486 Nd
0.0000 0.0000 0.7514 Nd
0.5000 0.5000 0.5000 Sm
0.5000 0.5000 0.0000 Ir
0.1926 0.1926 0.5000 O
0.2416 0.2416 0.0000 O
0.3215 0.6785 0.2057 O
0.3215 0.6785 0.7943 O
0.6785 0.3215 0.2057 O
0.6785 0.3215 0.7943 O
0.7584 0.7584 0.0000 O
0.8074 0.8074 0.5000 O
```

Summary:
space-group type = No. 65
crystal system = orthorhombic
energy relative to the elements, uncorrected = -2.24 eV per atom

=====

(7)
NdSm2IrO8: optimized geometry, GGA-PBE.

Structure (POSCAR):
```
NdSm2IrO8
1.0
5.1575 0.0000 0.0000
0.0000 6.9881 0.0000
-0.0092 0.0000 5.1643
Nd Sm Ir O
1 2 1 8
direct
0.0000 0.0000 0.0000 Nd
0.5000 0.2509 0.5000 Sm
0.5000 0.7491 0.5000 Sm
0.0000 0.5000 0.0000 Ir
0.1825 0.2966 0.1810 O
0.1825 0.7034 0.1810 O
0.2601 0.5000 0.7386 O
0.3112 0.0000 0.6869 O
0.6888 0.0000 0.3131 O
0.7399 0.5000 0.2614 O
0.8175 0.2966 0.8190 O
0.8175 0.7034 0.8190 O
```

Summary:
space-group type = No. 10
crystal system = monoclinic
energy relative to the elements, uncorrected = -2.26 eV per atom

=====

(8)
SrNdIr2O8: optimized geometry, GGA-PBE.

Structure (POSCAR):
```
SrNdIr2O8
1.0
5.9705 0.0000 0.0000
-2.9852 5.1706 0.0000
0.0000 0.0000 7.3913
Sr Nd Ir O
1 1 2 8
direct
0.0000 0.0000 0.0000 Sr
0.0000 0.0000 0.5000 Nd
0.3333 0.6667 0.8019 Ir
0.6667 0.3333 0.1981 Ir
0.1611 0.8363 0.7217 O
0.1637 0.3248 0.7217 O
0.3248 0.1611 0.2783 O
0.3333 0.6667 0.0468 O
0.6667 0.3333 0.9532 O
0.6752 0.8389 0.7217 O
0.8363 0.6752 0.2783 O
0.8389 0.1637 0.2783 O
```

Summary:
space-group type = No. 147
crystal system = trigonal
energy relative to the elements, uncorrected = -1.32 eV per atom

=====

Repeat the sixth record exactly.
Nd2SmIrO8: optimized geometry, GGA-PBE.

Structure (POSCAR):
```
Nd2SmIrO8
1.0
3.6663 -3.6814 0.0000
3.6663 3.6814 0.0000
0.0000 0.0000 6.9992
Nd Sm Ir O
2 1 1 8
direct
0.0000 0.0000 0.2486 Nd
0.0000 0.0000 0.7514 Nd
0.5000 0.5000 0.5000 Sm
0.5000 0.5000 0.0000 Ir
0.1926 0.1926 0.5000 O
0.2416 0.2416 0.0000 O
0.3215 0.6785 0.2057 O
0.3215 0.6785 0.7943 O
0.6785 0.3215 0.2057 O
0.6785 0.3215 0.7943 O
0.7584 0.7584 0.0000 O
0.8074 0.8074 0.5000 O
```

Summary:
space-group type = No. 65
crystal system = orthorhombic
energy relative to the elements, uncorrected = -2.24 eV per atom